# LaHfPb2I

LaHfPb2I after structural relaxation (PBE-GGA, the Alexandria database).

Properties
DOS(E_F)	5.9	states/eV/cell
energy relative to the elements, uncorrected	0.9541	eV/atom
space-group type	P4/mmm

Cell lengths 6.1560, 5.6095, 6.1560 Å; angles 90.00, 90.00, 90.00 degrees
Fractional positions:
Pb: 0.0000 0.0000 0.5000
Pb: 0.5000 0.0000 0.0000
I: 0.5000 0.5000 0.5000
Hf: 0.0000 0.5000 0.0000
La: 0.0000 0.0000 0.0000

# CsPt3Cl

CsPt3Cl after structural relaxation (PBE-GGA, the Alexandria database).

Properties
DOS(E_F)	6.2	states/eV/cell
excess energy over the best structure of this formula in the dataset	1225.3	meV per atom
energy relative to the elements, uncorrected	2.0634	eV/atom
space-group type	Pm-3m

Cell lengths 5.2643, 5.2643, 5.2643 Å; angles 90.00, 90.00, 90.00 degrees
Fractional positions:
Cs: 0.0000 0.0000 0.0000
Pt: 0.0000 0.5000 0.0000
Pt: 0.0000 0.0000 0.5000
Pt: 0.5000 0.0000 0.0000
Cl: 0.5000 0.5000 0.5000

# LiScPt

LiScPt after structural relaxation (PBE-GGA, the Alexandria database).

Properties
DOS(E_F)	0.9	states/eV/cell
excess energy over the best structure of this formula in the dataset	127.7	meV per atom
space-group type	F-43m
ΔH_f (0 K)	-679	meV per atom

Cell lengths 4.3906, 4.3906, 4.3906 Å; angles 60.00, 60.00, 60.00 degrees
Fractional positions:
Li: 0.5000 0.5000 0.5000
Pt: 0.7500 0.7500 0.7500
Sc: 0.0000 0.0000 0.0000

Which value of DOS(E_F) does entry 3 give?
0.9 states/eV/cell

What did the second record say?
# CsPt3Cl

CsPt3Cl after structural relaxation (PBE-GGA, the Alexandria database).

Properties
DOS(E_F)	6.2	states/eV/cell
excess energy over the best structure of this formula in the dataset	1225.3	meV per atom
energy relative to the elements, uncorrected	2.0634	eV/atom
space-group type	Pm-3m

Cell lengths 5.2643, 5.2643, 5.2643 Å; angles 90.00, 90.00, 90.00 degrees
Fractional positions:
Cs: 0.0000 0.0000 0.0000
Pt: 0.0000 0.5000 0.0000
Pt: 0.0000 0.0000 0.5000
Pt: 0.5000 0.0000 0.0000
Cl: 0.5000 0.5000 0.5000

The lowest DOS(E_F) belongs to which entry?
LiScPt